1.
KRb2CO3F | the Alexandria database | PBEsol | relaxed; raw total energy = -5.8021 eV/atom
1.0
-3.740 4.609 -3.726
-7.055 -0.622 0.863
3.512 2.889 5.497
K C Rb O F
2 2 4 6 2
Direct
0.417 0.749 0.167
0.583 0.167 0.749
0.000 0.756 0.756
0.500 0.249 0.249
0.500 0.680 0.680
0.073 0.250 0.820
0.000 0.321 0.321
0.927 0.820 0.250
0.339 0.424 0.244
0.000 0.927 0.927
0.165 0.584 0.758
0.661 0.244 0.424
0.500 0.078 0.078
0.835 0.758 0.584
0.735 0.495 0.000
0.265 0.000 0.495

2.
KHgPO2 | the Alexandria database | PBEsol | relaxed; raw total energy = -2.4642 eV/atom
1.0
-1.143 -2.916 -3.100
3.423 1.278 -2.465
3.579 -4.311 2.735
O P K Hg
2 1 1 1
Direct
0.000 0.500 0.000
0.500 0.000 0.000
0.000 0.000 0.500
0.000 0.000 0.000
0.500 0.500 0.500

3.
BaScGaCo2 | the Alexandria database | PBEsol | relaxed; raw total energy = -4.5460 eV/atom
1.0
-0.025 -2.485 3.789
1.588 -3.553 -2.320
5.106 1.582 1.071
Ba Ga Co Sc
1 1 2 1
Direct
0.000 0.000 0.500
0.000 0.000 0.000
0.500 0.000 0.000
0.000 0.500 0.000
0.500 0.500 0.500

4.
RbNbP2Cl | the Alexandria database | PBEsol | relaxed; raw total energy = -5.5923 eV/atom
1.0
-4.661 0.616 0.960
-0.476 -4.721 0.714
1.131 0.652 5.071
P Cl Nb Rb
2 1 1 1
Direct
0.500 0.000 0.000
0.000 0.500 0.000
0.000 0.000 0.500
0.000 0.000 0.000
0.500 0.500 0.500

5.
Ba2ZrCo | the Alexandria database | PBEsol | relaxed; excess energy over the best structure of this formula in the dataset = 0.547 eV/atom
1.0
-3.317 -0.816 -0.728
0.119 -2.582 2.349
-2.946 5.981 6.723
Ba Co Zr
2 1 1
Direct
0.000 0.000 0.800
0.000 0.000 0.200
0.500 0.500 0.000
0.500 0.500 0.500

6.
SrCdBr | the Alexandria database | PBEsol | relaxed; excess energy over the best structure of this formula in the dataset = 0.000 eV/atom
1.0
-3.138 0.214 2.256
-1.911 -2.322 -2.436
4.573 -4.104 3.414
Cd Sr Br
1 1 1
Direct
0.687 0.687 0.374
0.346 0.346 0.692
0.967 0.967 0.933

7.
LiTl2In | the Alexandria database | PBEsol | relaxed; raw total energy = -2.6488 eV/atom
1.0
-3.041 -1.120 0.909
1.188 -3.148 0.092
2.037 1.004 8.053
Li Tl In
1 2 1
Direct
0.500 0.500 0.000
0.000 0.000 0.777
0.000 0.000 0.223
0.500 0.500 0.500

8.
NaMnO4 | the Alexandria database | PBEsol | relaxed; raw total energy = -6.7701 eV/atom
1.0
5.696 0.016 0.000
-0.245 7.074 0.000
0.000 0.000 8.398
O Mn Na
16 4 4
Direct
0.246 0.490 0.938
0.254 0.010 0.438
0.746 0.990 0.562
0.380 0.590 0.652
0.880 0.090 0.848
0.398 0.838 0.885
0.120 0.910 0.152
0.010 0.283 0.226
0.898 0.338 0.615
0.620 0.410 0.348
0.510 0.783 0.274
0.490 0.217 0.726
0.602 0.162 0.115
0.754 0.510 0.062
0.102 0.662 0.385
0.990 0.717 0.774
0.747 0.342 0.188
0.247 0.842 0.312
0.753 0.158 0.688
0.253 0.658 0.812
0.752 0.657 0.535
0.252 0.157 0.965
0.748 0.843 0.035
0.248 0.343 0.465